First-principles (PBE) data for crystalline CaLaCSe2 at its relaxed geometry, as listed in Alexandria.

The structure belongs to space group P4/mmm (No. 123); the cell edges are 5.073, 5.073 and 4.367 Å and the angles 90.00°, 90.00° and 90.00°. The asymmetric unit holds Ca at (0.000, 0.000, 0.000), La at (0.500, 0.500, 0.000), C at (0.000, 0.000, 0.500) and Se at (0.000, 0.500, 0.500).

The formation energy without anion corrections comes out at -0.06 eV per atom. The value obtained for the density of states at the Fermi level is 3.36 states/eV/f.u.